1.
DFT (PBE) results for a relaxed SrMg2Pt crystal.

```
SrMg2Pt
1.0
4.405 0.000 0.000
0.000 5.050 0.009
0.000 2.129 5.110
Mg Pt Sr
2 1 1
Cartesian
0.000 0.631 0.363 Mg
0.000 2.958 2.196 Mg
2.202 1.795 1.280 Pt
2.202 5.384 3.840 Sr
```


2.
DFT (PBE) results for a relaxed SrMg2Pt2 crystal.

```
SrMg2Pt2
1.0
-4.135 1.173 0.267
-0.405 -2.258 3.645
-0.707 4.253 5.101
Mg Pt Sr
2 2 1
Cartesian
-1.691 0.726 5.351 Mg
-3.556 2.441 3.662 Mg
-1.919 0.534 2.662 Pt
-3.328 2.633 6.351 Pt
0.000 0.000 0.000 Sr
```


3.
DFT (PBE) results for a relaxed SrMgPt2 crystal.

```
SrMgPt2
1.0
-0.750 -1.881 -4.597
4.753 -1.622 -0.112
-0.507 -9.342 1.160
Pt Sr Mg
4 2 2
Cartesian
2.206 -9.759 -3.228 Pt
2.036 -8.633 -0.917 Pt
2.605 -3.947 -1.240 Pt
0.143 -3.352 -1.712 Pt
0.372 -6.487 -2.895 Sr
0.000 0.000 0.000 Sr
2.001 -1.752 -2.354 Mg
3.123 -6.358 -0.653 Mg
```


4.
DFT (PBE) results for a relaxed Sr3Mg7Pt4 crystal.

```
Sr3Mg7Pt4
1.0
4.280 0.000 1.080
1.580 8.156 2.759
-0.059 -0.118 9.258
Pt Sr Mg
4 3 7
Cartesian
5.216 7.294 6.393 Pt
0.585 0.745 6.704 Pt
3.531 3.576 4.048 Pt
2.270 4.463 9.049 Pt
0.761 4.019 6.008 Sr
1.586 1.443 2.735 Sr
4.215 6.596 10.361 Sr
3.377 6.200 4.659 Mg
0.000 0.000 0.000 Mg
2.424 1.838 8.438 Mg
3.138 1.173 5.607 Mg
1.649 4.770 2.485 Mg
2.663 6.866 7.490 Mg
4.152 3.269 10.611 Mg
```


What formation energy values result from the calculations? In sequence: -147 -392 -179 -888 kJ/mol of formula units.